# Re5Ag, relaxed, DFT GGA-PBE
# * energy relative to the lowest polymorph listed for this composition: 390.9 meV/atom
# * calculated formation energy: 659 meV per atom
# * E: -10.1900 eV/atom
# * magnetization: 0.000 μB/f.u.
data_Re5Ag
_space_group_name_H-M_alt 'P 6/m m m'
_space_group_IT_number 191
_space_group_name_Hall '-P 6 2'
_cell_length_a 5.1045
_cell_length_b 5.1045
_cell_length_c 4.5738
_cell_angle_alpha 90.00
_cell_angle_beta 90.00
_cell_angle_gamma 120.00
loop_
_atom_site_label
_atom_site_type_symbol
_atom_site_fract_x
_atom_site_fract_y
_atom_site_fract_z
Re1 Re 0.0000 0.5000 0.0000
Re2 Re 0.3333 0.6667 0.5000
Ag1 Ag 0.0000 0.0000 0.5000